## w
Here is an optimized crystal structure of Mo2AsCl from Alexandria. Energies are from PBEsol.

a b c (Å): 3.1164 4.9629 5.7569
angles (deg): 93.76 90.00 108.30
Last column: nearest neighbours and their distance in Å.
Atoms (fractional coordinates):
Mo1 0.8986 0.7973 0.9193  1 Cl 2.39, 2 Mo 2.39, 2 As 2.60
Mo2 0.2844 0.5688 0.6516  2 Mo 2.39, 1 As 2.47
As1 0.5466 0.0931 0.6660  5 Mo 2.47-2.74
Cl1 0.7704 0.5408 0.2631  1 Mo 2.39

## x
Here is an optimized crystal structure of Mo2AsCl from Alexandria. Energies are from PBEsol.

a b c (Å): 3.1515 4.6737 6.1873
angles (deg): 79.88 75.25 70.30
Last column: nearest neighbours and their distance in Å.
Atoms (fractional coordinates):
Mo1 0.2812 0.5822 0.8555  2 Mo 2.40, 3 As 2.62-2.63
Mo2 0.7188 0.4178 0.1445  2 Mo 2.40, 3 As 2.62-2.63
As1 0.5000 0.0000 0.0000  6 Mo 2.62-2.63
Cl1 0.0000 0.5000 0.5000  4 Mo 2.70

x is favored, and the nearest alternative lies 36 meV per atom above it.

## w
Here is an optimized crystal structure of AsSNCl2 from Alexandria. Energies are from PBEsol.

a b c (Å): 4.7539 4.9166 4.9166
angles (deg): 90.00 90.00 90.00
Last column: nearest neighbours and their distance in Å.
Atoms (fractional coordinates):
As1 0.0000 0.0000 0.0000  2 S 2.38, 4 Cl 2.46
N1 0.5000 0.5000 0.5000  8 Cl 3.42, 4 S 3.48
S1 0.5000 0.0000 0.0000  2 As 2.38
Cl1 0.0000 0.0000 0.5000  2 As 2.46
Cl2 0.0000 0.5000 0.0000  2 As 2.46

## x
Here is an optimized crystal structure of AsSNCl2 from Alexandria. Energies are from PBEsol.

a b c (Å): 4.0985 4.0985 4.6511
angles (deg): 90.00 90.00 90.00
Last column: nearest neighbours and their distance in Å.
Atoms (fractional coordinates):
As1 0.5000 0.5000 0.5000  4 S 2.90, 8 Cl 3.10
N1 0.0000 0.0000 0.0000  4 Cl 2.05
S1 0.0000 0.0000 0.5000  2 N 2.33
Cl1 0.0000 0.5000 0.0000  2 N 2.05
Cl2 0.5000 0.0000 0.0000  2 N 2.05

x is favored, and the nearest alternative lies 52 meV per atom above it.

## w
Here is an optimized crystal structure of NiAs2Cl from Alexandria. Energies are from PBEsol.

a b c (Å): 5.8503 6.6454 5.8503
angles (deg): 63.88 90.00 116.12
Last column: nearest neighbours and their distance in Å.
Atoms (fractional coordinates):
Ni1 0.7500 0.5000 0.7500  4 As 2.19
Ni2 0.0000 0.0000 0.0000  4 As 2.19
As1 0.7079 0.7500 0.3750  2 Ni 2.19
As2 0.0421 0.7500 0.8750  2 Ni 2.19
As3 0.8750 0.2500 0.7079  2 Ni 2.19
As4 0.3750 0.2500 0.0421  2 Ni 2.19
Cl1 0.2500 0.5000 0.2500  4 As 2.76
Cl2 0.5000 0.0000 0.5000  4 As 2.76

## x
Here is an optimized crystal structure of NiAs2Cl from Alexandria. Energies are from PBEsol.

a b c (Å): 3.7726 4.6971 4.5615
angles (deg): 119.06 90.00 90.00
Last column: nearest neighbours and their distance in Å.
Atoms (fractional coordinates):
Ni1 0.5000 0.5000 0.0000  2 Cl 2.28, 4 As 2.36
As1 0.0000 0.8470 0.1735  2 Ni 2.36, 2 As 2.60
As2 0.0000 0.1530 0.8265  2 Ni 2.36, 2 As 2.60
Cl1 0.5000 0.5000 0.5000  2 Ni 2.28

## y
Here is an optimized crystal structure of NiAs2Cl from Alexandria. Energies are from PBEsol.

a b c (Å): 2.6298 3.3537 7.8806
angles (deg): 90.00 90.00 90.00
Last column: nearest neighbours and their distance in Å.
Atoms (fractional coordinates):
Ni1 0.5000 0.5000 0.5000  8 As 2.54, 2 Ni 2.63
As1 0.0000 0.0000 0.6755  4 Ni 2.54, 3 As 2.63-2.77
As2 0.0000 0.0000 0.3245  4 Ni 2.54, 3 As 2.63-2.77
Cl1 0.5000 0.5000 0.0000  2 Cl 2.63

x is favored, and the nearest alternative lies 129 meV per atom above it.

## w
Here is an optimized crystal structure of As3ClO from Alexandria. Energies are from PBEsol.

a b c (Å): 4.8008 4.8008 4.8008
angles (deg): 90.00 90.00 90.00
Last column: nearest neighbours and their distance in Å.
Atoms (fractional coordinates):
As1 0.0000 0.5000 0.0000  2 Cl 2.40
As2 0.0000 0.0000 0.5000  2 Cl 2.40
As3 0.5000 0.0000 0.0000  2 Cl 2.40
O1 0.5000 0.5000 0.5000  12 As 3.39
Cl1 0.0000 0.0000 0.0000  6 As 2.40

## x
Here is an optimized crystal structure of As3ClO from Alexandria. Energies are from PBEsol.

a b c (Å): 4.4374 4.4374 4.4374
angles (deg): 90.00 90.00 90.00
Last column: nearest neighbours and their distance in Å.
Atoms (fractional coordinates):
As1 0.0000 0.5000 0.0000  2 O 2.22
As2 0.0000 0.0000 0.5000  2 O 2.22
As3 0.5000 0.0000 0.0000  2 O 2.22
O1 0.0000 0.0000 0.0000  6 As 2.22
Cl1 0.5000 0.5000 0.5000  12 As 3.14

x is favored, and the nearest alternative lies 1120 meV per atom above it.

## w
Here is an optimized crystal structure of AsP2ClO from Alexandria. Energies are from PBEsol.

a b c (Å): 3.6546 4.8535 4.8535
angles (deg): 90.00 90.00 90.00
Last column: nearest neighbours and their distance in Å.
Atoms (fractional coordinates):
P1 0.0000 0.0000 0.5000  2 As 2.43
P2 0.0000 0.5000 0.0000  2 As 2.43
As1 0.0000 0.0000 0.0000  2 O 1.83
O1 0.5000 0.0000 0.0000  2 As 1.83
Cl1 0.5000 0.5000 0.5000  8 P 3.04

## x
Here is an optimized crystal structure of AsP2ClO from Alexandria. Energies are from PBEsol.

a b c (Å): 3.8401 3.8401 5.5475
angles (deg): 90.00 90.00 90.00
Last column: nearest neighbours and their distance in Å.
Atoms (fractional coordinates):
P1 0.0000 0.5000 0.0000  2 O 1.92
P2 0.5000 0.0000 0.0000  2 O 1.92
As1 0.5000 0.5000 0.5000  4 Cl 2.72
O1 0.0000 0.0000 0.0000  4 P 1.92
Cl1 0.0000 0.0000 0.5000  4 As 2.72, 2 O 2.77

x is favored, and the nearest alternative lies 82 meV per atom above it.

## w
Here is an optimized crystal structure of As3Pb5ClO9 from Alexandria. Energies are from PBEsol.

a b c (Å): 6.9418 10.3619 10.3619
angles (deg): 120.00 90.00 90.00
Last column: nearest neighbours and their distance in Å.
Atoms (fractional coordinates):
As1 0.7500 0.5846 0.9866  3 O 1.78-1.83
As2 0.7500 0.4020 0.4154  3 O 1.78-1.83
As3 0.7500 0.0134 0.5980  3 O 1.78-1.83
As4 0.2500 0.4154 0.0134  3 O 1.78-1.83
As5 0.2500 0.5980 0.5846  3 O 1.78-1.83
As6 0.2500 0.9866 0.4020  3 O 1.78-1.83
Cl1 0.0000 0.0000 0.0000  6 Pb 3.10
Cl2 0.5000 0.0000 0.0000  6 Pb 3.10
O1 0.7500 0.3848 0.8510  1 As 1.83
O2 0.7500 0.4662 0.6152  1 As 1.83
O3 0.7500 0.1490 0.5338  1 As 1.83
O4 0.2500 0.6152 0.1490  1 As 1.83
O5 0.2500 0.5338 0.3848  1 As 1.83
O6 0.2500 0.8510 0.4662  1 As 1.83
O7 0.9459 0.6273 0.9041  1 As 1.78
O8 0.9459 0.2768 0.3727  1 As 1.78
O9 0.9459 0.0959 0.7232  1 As 1.78
O10 0.4459 0.3727 0.0959  1 As 1.78
O11 0.4459 0.7232 0.6273  1 As 1.78
O12 0.4459 0.9041 0.2768  1 As 1.78
O13 0.0541 0.3727 0.0959  1 As 1.78
O14 0.0541 0.7232 0.6273  1 As 1.78
O15 0.0541 0.9041 0.2768  1 As 1.78
O16 0.5541 0.6273 0.9041  1 As 1.78
O17 0.5541 0.2768 0.3727  1 As 1.78
O18 0.5541 0.0959 0.7232  1 As 1.78
Pb1 0.0067 0.6667 0.3333  3 O 2.40
Pb2 0.5067 0.3333 0.6667  3 O 2.40
Pb3 0.9933 0.3333 0.6667  3 O 2.40
Pb4 0.4933 0.6667 0.3333  3 O 2.40
Pb5 0.7500 0.7353 0.7740  5 O 2.43-2.57
Pb6 0.7500 0.0387 0.2647  5 O 2.43-2.57
Pb7 0.7500 0.2260 0.9613  5 O 2.43-2.57
Pb8 0.2500 0.2647 0.2260  5 O 2.43-2.57
Pb9 0.2500 0.9613 0.7353  5 O 2.43-2.57
Pb10 0.2500 0.7740 0.0387  5 O 2.43-2.57

## x
Here is an optimized crystal structure of As3Pb5ClO9 from Alexandria. Energies are from PBEsol.

a b c (Å): 7.3347 10.3399 10.3399
angles (deg): 120.00 90.00 90.00
Last column: nearest neighbours and their distance in Å.
Atoms (fractional coordinates):
As1 0.2525 0.6940 0.0338  3 O 1.76-1.83
As2 0.2525 0.3398 0.3060  3 O 1.76-1.83
As3 0.2525 0.9662 0.6602  3 O 1.76-1.83
As4 0.7525 0.3060 0.9662  3 O 1.76-1.83
As5 0.7525 0.6602 0.6940  3 O 1.76-1.83
As6 0.7525 0.0338 0.3398  3 O 1.76-1.83
Cl1 0.7686 0.6667 0.3333  1 Pb 2.66
Cl2 0.2686 0.3333 0.6667  1 Pb 2.66
O1 0.2749 0.8013 0.9387  1 As 1.82
O2 0.2749 0.1374 0.1987  1 As 1.82
O3 0.2749 0.0613 0.8626  1 As 1.82
O4 0.7749 0.1987 0.0613  1 As 1.82
O5 0.7749 0.8626 0.8013  1 As 1.82
O6 0.7749 0.9387 0.1374  1 As 1.82
O7 0.1191 0.8222 0.1849  1 As 1.76
O8 0.1191 0.3627 0.1778  1 As 1.76
O9 0.1191 0.8151 0.6373  1 As 1.76
O10 0.6191 0.1778 0.8151  1 As 1.76
O11 0.6191 0.6373 0.8222  1 As 1.76
O12 0.6191 0.1849 0.3627  1 As 1.76
O13 0.4668 0.7306 0.1366  1 As 1.83
O14 0.4668 0.4060 0.2694  1 As 1.83
O15 0.4668 0.8634 0.5940  1 As 1.83
O16 0.9668 0.2694 0.8634  1 As 1.83
O17 0.9668 0.5940 0.7306  1 As 1.83
O18 0.9668 0.1366 0.4060  1 As 1.83
Pb1 0.0411 0.0000 0.0000  6 O 2.50-2.67
Pb2 0.5411 0.0000 0.0000  6 O 2.50-2.67
Pb3 0.4058 0.6667 0.3333  3 O 2.47, 1 Cl 2.66
Pb4 0.9058 0.3333 0.6667  3 O 2.47, 1 Cl 2.66
Pb5 0.7613 0.6817 0.0414  3 O 2.32-2.33
Pb6 0.7613 0.3597 0.3183  3 O 2.32-2.33
Pb7 0.7613 0.9586 0.6403  3 O 2.32-2.33
Pb8 0.2613 0.3183 0.9586  3 O 2.32-2.33
Pb9 0.2613 0.6403 0.6817  3 O 2.32-2.33
Pb10 0.2613 0.0414 0.3597  3 O 2.32-2.33

w is favored, and the nearest alternative lies 75 meV per atom above it.

## w
Here is an optimized crystal structure of As2OsCl from Alexandria. Energies are from PBEsol.

a b c (Å): 3.0621 4.4543 4.6248
angles (deg): 90.00 90.00 90.00
Last column: nearest neighbours and their distance in Å.
Atoms (fractional coordinates):
As1 0.0000 0.0000 0.0000  4 As 2.70, 4 Cl 2.77
As2 0.5000 0.5000 0.0000  4 As 2.70, 4 Os 2.77
Os1 0.0000 0.5000 0.5000  4 Cl 2.70, 4 As 2.77
Cl1 0.5000 0.0000 0.5000  4 Os 2.70, 4 As 2.77

## x
Here is an optimized crystal structure of As2OsCl from Alexandria. Energies are from PBEsol.

a b c (Å): 4.4892 4.4892 4.4892
angles (deg): 60.00 60.00 60.00
Last column: nearest neighbours and their distance in Å.
Atoms (fractional coordinates):
As1 0.2500 0.2500 0.2500  4 Cl 2.75, 4 Os 2.75
As2 0.7500 0.7500 0.7500  4 Cl 2.75, 4 Os 2.75
Os1 0.5000 0.5000 0.5000  8 As 2.75
Cl1 0.0000 0.0000 0.0000  8 As 2.75

x is favored, and the nearest alternative lies 103 meV per atom above it.

## w
Here is an optimized crystal structure of AsPCl2 from Alexandria. Energies are from PBEsol.

a b c (Å): 4.6574 4.6574 4.6574
angles (deg): 60.00 60.00 60.00
Last column: nearest neighbours and their distance in Å.
Atoms (fractional coordinates):
P1 0.5000 0.5000 0.5000  8 Cl 2.85
As1 0.0000 0.0000 0.0000  8 Cl 2.85
Cl1 0.2500 0.2500 0.2500  4 As 2.85, 4 P 2.85
Cl2 0.7500 0.7500 0.7500  4 P 2.85, 4 As 2.85

## x
Here is an optimized crystal structure of AsPCl2 from Alexandria. Energies are from PBEsol.

a b c (Å): 3.6617 3.8708 7.0515
angles (deg): 88.03 90.00 90.00
Last column: nearest neighbours and their distance in Å.
Atoms (fractional coordinates):
P1 0.0000 0.0445 0.6364  1 Cl 2.07
As1 0.5000 0.4592 0.6225  1 Cl 2.19, 2 P 2.43
Cl1 0.0000 0.9954 0.9291  1 P 2.07
Cl2 0.5000 0.5009 0.3119  1 As 2.19

x is favored, and the nearest alternative lies 1045 meV per atom above it.

## w
Here is an optimized crystal structure of As2PCl from Alexandria. Energies are from PBEsol.

a b c (Å): 3.4555 3.4555 7.5561
angles (deg): 76.78 76.78 60.00
Last column: nearest neighbours and their distance in Å.
Atoms (fractional coordinates):
P1 0.0000 0.0000 0.0000  6 As 2.53
As1 0.2625 0.2625 0.2124  3 P 2.53
As2 0.7375 0.7375 0.7876  3 P 2.53
Cl1 0.5000 0.5000 0.5000  6 As 2.89

## x
Here is an optimized crystal structure of As2PCl from Alexandria. Energies are from PBEsol.

a b c (Å): 3.9407 4.4734 5.0323
angles (deg): 90.00 113.77 90.00
Last column: nearest neighbours and their distance in Å.
Atoms (fractional coordinates):
P1 0.5000 0.5000 0.5000  2 Cl 2.52, 4 As 2.58
As1 0.8456 0.0000 0.6735  2 As 2.50-2.58, 2 P 2.58
As2 0.1544 0.0000 0.3265  2 As 2.50-2.58, 2 P 2.58
Cl1 0.5000 0.5000 0.0000  2 P 2.52

x is favored, and the nearest alternative lies 24 meV per atom above it.

## w
Here is an optimized crystal structure of AsPbCl2 from Alexandria. Energies are from PBEsol.

a b c (Å): 4.4766 4.6529 4.6843
angles (deg): 93.17 90.00 90.00
Last column: nearest neighbours and their distance in Å.
Atoms (fractional coordinates):
Pb1 0.5000 0.0000 0.5000  4 Cl 2.90, 2 As 3.21
As1 0.5000 0.5000 0.0000  4 Cl 2.72
Cl1 0.0000 0.2720 0.2282  2 As 2.72, 2 Pb 2.90
Cl2 0.0000 0.7280 0.7718  2 As 2.72, 2 Pb 2.90

## x
Here is an optimized crystal structure of AsPbCl2 from Alexandria. Energies are from PBEsol.

a b c (Å): 3.2908 3.2908 9.4922
angles (deg): 80.02 80.02 60.00
Last column: nearest neighbours and their distance in Å.
Atoms (fractional coordinates):
Pb1 0.5000 0.5000 0.5000  6 Cl 3.11, 6 Pb 3.29
As1 0.0000 0.0000 0.0000  6 Cl 2.90
Cl1 0.2548 0.2548 0.2357  3 As 2.90, 3 Pb 3.11
Cl2 0.7452 0.7452 0.7643  3 As 2.90, 3 Pb 3.11

w is favored, and the nearest alternative lies 175 meV per atom above it.

## w
Here is an optimized crystal structure of AsPtCl2 from Alexandria. Energies are from PBEsol.

a b c (Å): 3.9034 4.2243 4.2243
angles (deg): 90.00 90.00 90.00
Last column: nearest neighbours and their distance in Å.
Atoms (fractional coordinates):
As1 0.5000 0.0000 0.0000  8 Cl 2.88, 4 Pt 2.99
Pt1 0.5000 0.5000 0.5000  8 Cl 2.88, 4 As 2.99
Cl1 0.0000 0.0000 0.5000  4 As 2.88, 4 Pt 2.88, 4 Cl 2.99
Cl2 0.0000 0.5000 0.0000  4 As 2.88, 4 Pt 2.88, 4 Cl 2.99

## x
Here is an optimized crystal structure of AsPtCl2 from Alexandria. Energies are from PBEsol.

a b c (Å): 3.0222 3.2361 8.7066
angles (deg): 90.00 90.00 117.84
Last column: nearest neighbours and their distance in Å.
Atoms (fractional coordinates):
As1 0.5000 0.0000 0.0000  4 Cl 2.93, 6 As 3.02-3.24
Pt1 0.5000 0.0000 0.5000  4 Cl 2.39
Cl1 0.0000 0.0000 0.7122  2 Pt 2.39
Cl2 0.0000 0.0000 0.2878  2 Pt 2.39

## y
Here is an optimized crystal structure of AsPtCl2 from Alexandria. Energies are from PBEsol.

a b c (Å): 4.1931 4.1931 5.0020
angles (deg): 112.72 112.72 94.51
Last column: nearest neighbours and their distance in Å.
Atoms (fractional coordinates):
As1 0.5000 0.5000 0.0000  4 Cl 2.57, 2 Pt 2.85
Pt1 0.0000 0.0000 0.0000  4 Cl 2.57, 2 As 2.85
Cl1 0.5000 0.0000 0.5000  2 Pt 2.57, 2 As 2.57, 2 Cl 2.85
Cl2 0.0000 0.5000 0.5000  2 As 2.57, 2 Pt 2.57, 2 Cl 2.85

y is favored, and the nearest alternative lies 73 meV per atom above it.

## w
Here is an optimized crystal structure of Rb2ScAsCl from Alexandria. Energies are from PBEsol.

a b c (Å): 5.0238 5.7799 5.7799
angles (deg): 90.00 90.00 90.00
Last column: nearest neighbours and their distance in Å.
Atoms (fractional coordinates):
Sc1 0.5000 0.0000 0.0000  2 Cl 2.51
As1 0.5000 0.5000 0.5000  8 Rb 3.83, 4 Sc 4.09
Rb1 0.0000 0.0000 0.5000  2 Cl 2.89
Rb2 0.0000 0.5000 0.0000  2 Cl 2.89
Cl1 0.0000 0.0000 0.0000  2 Sc 2.51

## x
Here is an optimized crystal structure of Rb2ScAsCl from Alexandria. Energies are from PBEsol.

a b c (Å): 5.0093 6.6580 6.6580
angles (deg): 90.00 90.00 90.00
Last column: nearest neighbours and their distance in Å.
Atoms (fractional coordinates):
Sc1 0.5000 0.0000 0.0000  2 As 2.50
As1 0.0000 0.0000 0.0000  2 Sc 2.50
Rb1 0.0000 0.0000 0.5000  2 As 3.33
Rb2 0.0000 0.5000 0.0000  2 As 3.33
Cl1 0.5000 0.5000 0.5000  8 Rb 4.17

x is favored, and the nearest alternative lies 314 meV per atom above it.